[1]
Tb2SmGa2Hg2 GGA-PBE optimized geometry; ΔH_f (0 K) = -0.378 eV/atom; SG = R-3m (166); DOS at the Fermi energy = 0.5551 states/eV per atom; spin magnetization = 0.0 μB per cell; energy = -3.33 eV/atom
1.0
4.656 0.000 0.000
2.328 4.032 0.000
2.328 1.344 9.371
Tb Ga Sm Hg
2 2 1 2
Direct
0.129 0.129 0.613
0.871 0.871 0.387
0.251 0.251 0.248
0.749 0.749 0.752
0.000 0.000 0.000
0.603 0.603 0.191
0.397 0.397 0.809

[2]
YHoZn4 GGA-PBE optimized geometry; ΔH_f (0 K) = -0.386 eV/atom; SG = Immm (71); energy relative to the lowest polymorph listed for this composition = 0 meV per atom; DOS at the Fermi energy = 0.7834 states/eV per atom; spin magnetization = 0.0 μB per cell; energy = -3.08 eV/atom
1.0
0.762 -4.410 -0.205
4.300 -1.373 -3.434
4.070 -1.737 3.549
Zn Ho Y
4 1 1
Direct
0.333 0.415 0.919
0.667 0.081 0.585
0.333 0.919 0.415
0.667 0.585 0.081
0.000 0.000 0.000
0.000 0.500 0.500

[3]
SrLiAs2 GGA-PBE optimized geometry; ΔH_f (0 K) = -0.647 eV/atom; SG = Pmmm (47); energy relative to the lowest polymorph listed for this composition = 125 meV per atom; DOS at the Fermi energy = 0.3642 states/eV per atom; spin magnetization = 0.0 μB per cell; energy = -3.87 eV/atom
1.0
3.876 0.000 0.000
0.000 3.740 0.009
0.000 3.725 6.270
Li As Sr
1 2 1
Direct
0.500 0.250 0.250
0.000 0.557 0.443
0.000 0.943 0.057
0.500 0.750 0.750

[4]
HgRuSe2 GGA-PBE optimized geometry; SG = Cmmm (65); DOS at the Fermi energy = 0.6314 states/eV per atom; spin magnetization = 0.0 μB per cell; energy = -3.59 eV/atom
1.0
-1.695 0.148 -4.499
4.281 -2.175 -0.274
-1.495 -3.000 0.464
Se Ru Hg
2 1 1
Direct
0.000 0.000 0.000
0.500 0.500 0.000
0.000 0.500 0.500
0.500 0.000 0.500

[5]
InBi2Te2 GGA-PBE optimized geometry; SG = I4/mmm (139); energy relative to the lowest polymorph listed for this composition = 4 meV per atom; DOS at the Fermi energy = 0.6736 states/eV per atom; spin magnetization = 0.0 μB per cell; energy = -3.37 eV/atom
1.0
-1.306 5.864 -1.377
-4.525 -1.885 -3.736
-6.056 2.163 1.159
Bi Te In
2 2 1
Direct
0.333 0.333 0.335
0.667 0.667 0.665
0.750 0.250 0.500
0.250 0.750 0.500
0.000 0.000 0.000

[6]
SrU2O7 GGA-PBE optimized geometry; SG = R-3m (166); DOS at the Fermi energy = 0.0000 states/eV per atom; spin magnetization = 0.0 μB per cell; energy = -9.00 eV/atom
1.0
3.818 0.000 0.671
1.850 3.340 0.671
0.085 0.050 10.717
O Sr U
7 1 2
Direct
0.000 0.000 0.000
0.281 0.281 0.157
0.719 0.719 0.843
0.584 0.584 0.247
0.416 0.416 0.753
0.870 0.870 0.389
0.130 0.130 0.611
0.500 0.500 0.500
0.934 0.934 0.197
0.066 0.066 0.803

[7]
NbPd2Pt2Rh2 GGA-PBE optimized geometry; ΔH_f (0 K) = -0.132 eV/atom; SG = C2/m (12); DOS at the Fermi energy = 1.0308 states/eV per atom; spin magnetization = 0.0 μB per cell; energy = -6.88 eV/atom
1.0
-0.445 -1.033 2.500
6.861 0.214 -0.194
-3.634 5.687 1.705
Pd Nb Pt Rh
2 1 2 2
Direct
0.728 0.456 0.802
0.272 0.544 0.198
0.000 0.000 0.500
0.565 0.131 0.909
0.435 0.869 0.091
0.654 0.308 0.374
0.346 0.692 0.626

[8]
Ti2TcHIr GGA-PBE optimized geometry; SG = P4/mmm (123); energy relative to the lowest polymorph listed for this composition = 18 meV per atom; DOS at the Fermi energy = 0.5182 states/eV per atom; spin magnetization = 0.0 μB per cell; energy = -8.19 eV/atom
1.0
-2.176 2.911 2.284
-2.308 1.004 -3.478
-2.318 -2.397 0.846
Tc H Ti Ir
1 1 2 1
Direct
0.500 0.500 0.500
0.000 0.000 0.000
0.500 0.000 0.000
0.000 0.500 0.000
0.000 0.000 0.500